1.
Below is a geometry-optimized AcTb2Ir structure, with properties calculated at the PBE-GGA level.

Lattice parameters (Å, degrees): 3.5816 3.5816 9.1756 90.00 90.00 90.00
Fractional coordinates of all 4 atoms:
Ac1 0.0000 0.0000 0.0000
Tb1 0.5000 0.5000 0.3264
Tb2 0.5000 0.5000 0.6736
Ir1 0.0000 0.0000 0.5000

Summary:
Total moment   0.00 μB/atom
Energy of formation   -0.3714 eV per atom
Energy above the lowest structure with this stoichiometry   127 meV per atom
Electronic total energy   -5.929 eV per atom

***

2.
Below is a geometry-optimized AcTb2Ir structure, with properties calculated at the PBE-GGA level.

Lattice parameters (Å, degrees): 3.9585 3.9585 32.1788 90.00 90.00 120.00
Fractional coordinates of all 12 atoms:
Ac1 0.0000 0.0000 0.0000
Ac2 0.3333 0.6667 0.6667
Ac3 0.6667 0.3333 0.3333
Tb1 0.0000 0.0000 0.1192
Tb2 0.0000 0.0000 0.8808
Tb3 0.3333 0.6667 0.5474
Tb4 0.3333 0.6667 0.7859
Tb5 0.6667 0.3333 0.2141
Tb6 0.6667 0.3333 0.4526
Ir1 0.0000 0.0000 0.5000
Ir2 0.3333 0.6667 0.1667
Ir3 0.6667 0.3333 0.8333

Summary:
Total moment   0.00 μB/atom
Energy of formation   -0.2461 eV per atom
Energy above the lowest structure with this stoichiometry   252 meV per atom
Electronic total energy   -5.804 eV per atom